DFT (PBE-GGA) results for a relaxed Ta2SiHg crystal.

a = 9.5008 Å, b = 9.5008 Å, c = 9.5008 Å
α = 17.94°, β = 17.94°, γ = 17.94°
Sites, in units of the cell vectors:
1 Ta 0.2439 0.2439 0.2439
2 Ta 0.7561 0.7561 0.7561
3 Si 0.5000 0.5000 0.5000
4 Hg 0.0000 0.0000 0.0000

Summary:
DOS at the Fermi energy: 1.74 states/eV per cell
uncorrected energy: -28.7 eV per formula unit
space-group type: R-3m (166)
size of the total moment: 0.0 μB per formula unit
uncorrected formation energy: 0.17 eV/atom
crystal system: trigonal



DFT (PBE-GGA) results for a relaxed Nd5Sc3H12 crystal.

a = 11.3860 Å, b = 11.3860 Å, c = 11.3860 Å
α = 109.47°, β = 109.47°, γ = 109.47°
Sites, in units of the cell vectors:
1 Nd 0.0000 0.0000 0.0000
2 Nd 0.0000 0.0000 0.5000
3 Nd 0.0000 0.5000 0.0000
4 Nd 0.0000 0.5000 0.5000
5 Nd 0.1250 0.7500 0.8750
6 Nd 0.1250 0.8750 0.2500
7 Nd 0.2500 0.1250 0.8750
8 Nd 0.2500 0.6250 0.3750
9 Nd 0.3750 0.2500 0.6250
10 Nd 0.3750 0.6250 0.7500
11 Nd 0.5000 0.0000 0.0000
12 Nd 0.5000 0.0000 0.5000
13 Nd 0.5000 0.5000 0.0000
14 Nd 0.5000 0.5000 0.5000
15 Nd 0.6250 0.3750 0.2500
16 Nd 0.6250 0.7500 0.3750
17 Nd 0.7500 0.3750 0.6250
18 Nd 0.7500 0.8750 0.1250
19 Nd 0.8750 0.1250 0.7500
20 Nd 0.8750 0.2500 0.1250
21 Sc 0.1250 0.2500 0.3750
22 Sc 0.1250 0.3750 0.7500
23 Sc 0.2500 0.3750 0.1250
24 Sc 0.2500 0.8750 0.6250
25 Sc 0.3750 0.1250 0.2500
26 Sc 0.3750 0.7500 0.1250
27 Sc 0.6250 0.2500 0.8750
28 Sc 0.6250 0.8750 0.7500
29 Sc 0.7500 0.1250 0.3750
30 Sc 0.7500 0.6250 0.8750
31 Sc 0.8750 0.6250 0.2500
32 Sc 0.8750 0.7500 0.6250
33 H 0.0543 0.7266 0.6536
34 H 0.0543 0.8278 0.4007
35 H 0.0729 0.2266 0.1722
36 H 0.0729 0.3464 0.9007
37 H 0.0993 0.6722 0.4457
38 H 0.0993 0.9271 0.6536
39 H 0.1536 0.2266 0.5543
40 H 0.1536 0.4271 0.5993
41 H 0.1722 0.0729 0.2266
42 H 0.1722 0.5993 0.9457
43 H 0.2266 0.1722 0.0729
44 H 0.2266 0.5543 0.1536
45 H 0.2734 0.3464 0.9457
46 H 0.2734 0.4271 0.3278
47 H 0.3278 0.2734 0.4271
48 H 0.3278 0.5543 0.9007
49 H 0.3464 0.9007 0.0729
50 H 0.3464 0.9457 0.2734
51 H 0.4007 0.0543 0.8278
52 H 0.4007 0.8464 0.5729
53 H 0.4271 0.3278 0.2734
54 H 0.4271 0.5993 0.1536
55 H 0.4457 0.0993 0.6722
56 H 0.4457 0.8464 0.7734
57 H 0.5543 0.1536 0.2266
58 H 0.5543 0.9007 0.3278
59 H 0.5729 0.4007 0.8464
60 H 0.5729 0.6722 0.7266
61 H 0.5993 0.1536 0.4271
62 H 0.5993 0.9457 0.1722
63 H 0.6536 0.0543 0.7266
64 H 0.6536 0.0993 0.9271
65 H 0.6722 0.4457 0.0993
66 H 0.6722 0.7266 0.5729
67 H 0.7266 0.5729 0.6722
68 H 0.7266 0.6536 0.0543
69 H 0.7734 0.4457 0.8464
70 H 0.7734 0.8278 0.9271
71 H 0.8278 0.4007 0.0543
72 H 0.8278 0.9271 0.7734
73 H 0.8464 0.5729 0.4007
74 H 0.8464 0.7734 0.4457
75 H 0.9007 0.0729 0.3464
76 H 0.9007 0.3278 0.5543
77 H 0.9271 0.6536 0.0993
78 H 0.9271 0.7734 0.8278
79 H 0.9457 0.1722 0.5993
80 H 0.9457 0.2734 0.3464

Summary:
DOS at the Fermi energy: 43.38 states/eV per cell
uncorrected energy: -90.4 eV per formula unit
space-group type: Ia-3d (230)
size of the total moment: 0.0 μB per formula unit
crystal system: cubic



DFT (PBE-GGA) results for a relaxed HoTm2Sc6 crystal.

a = 3.3825 Å, b = 3.3825 Å, c = 24.2627 Å
α = 90.00°, β = 90.00°, γ = 120.00°
Sites, in units of the cell vectors:
1 Ho 0.0000 0.0000 0.0000
2 Tm 0.3333 0.6667 0.3278
3 Tm 0.3333 0.6667 0.6722
4 Sc 0.0000 0.0000 0.2163
5 Sc 0.0000 0.0000 0.4378
6 Sc 0.0000 0.0000 0.5622
7 Sc 0.0000 0.0000 0.7837
8 Sc 0.3333 0.6667 0.1125
9 Sc 0.3333 0.6667 0.8875

Summary:
polymorph energy (0 for the lowest one): 0.04 eV/f.u.
DOS at the Fermi energy: 15.40 states/eV per cell
uncorrected energy: -50.9 eV per formula unit
space-group type: P-6m2 (187)
size of the total moment: 1.4 μB per formula unit
crystal system: hexagonal



DFT (PBE-GGA) results for a relaxed SrCaPb2 crystal.

a = 4.6527 Å, b = 6.3624 Å, c = 9.3874 Å
α = 90.00°, β = 90.00°, γ = 90.00°
Sites, in units of the cell vectors:
1 Sr 0.0000 0.1146 0.0000
2 Sr 0.0000 0.8854 0.5000
3 Ca 0.5000 0.3803 0.6124
4 Ca 0.5000 0.6197 0.1124
5 Pb 0.0000 0.4161 0.3399
6 Pb 0.0000 0.5839 0.8399
7 Pb 0.5000 0.1037 0.2730
8 Pb 0.5000 0.8963 0.7730

Summary:
DOS at the Fermi energy: 3.61 states/eV per cell
uncorrected energy: -13.1 eV per formula unit
space-group type: Pmc2_1 (26)
size of the total moment: 0.0 μB per formula unit
crystal system: orthorhombic